Record 1
AcSmAlSi after structural relaxation. Source: Alexandria, functional PBE.

The structure in POSCAR format:
```
AcSmAlSi
1.0
4.153 0.000 0.000
0.000 2.286 5.863
0.000 -2.286 5.863
Ac Sm Al Si
1 1 1 1
Cartesian
0.000 0.000 0.000
2.076 0.000 8.429
0.000 0.000 3.343
2.076 0.000 4.880
```

Values from the calculation:
* energy relative to the elements, uncorrected: -2.101 eV/f.u.
* relative energy among the computed polymorphs: 0.00 kJ per mole of atoms
* magnetization: 0.006 μB per formula unit
* space group: Amm2, No. 38
* D(E_F): 0.73 states/eV per atom

Record 2
AcSmAl2Si2 after structural relaxation. Source: Alexandria, functional PBE.

The structure in POSCAR format:
```
AcSmAl2Si2
1.0
4.247 0.000 0.000
-2.123 3.678 0.000
0.000 0.000 8.831
Ac Sm Al Si
1 1 2 2
Cartesian
0.000 0.000 0.000
0.000 0.000 4.416
0.000 2.452 6.516
2.123 1.226 2.315
0.000 2.452 2.404
2.123 1.226 6.427
```

Values from the calculation:
* energy relative to the elements, uncorrected: -3.586 eV/f.u.
* magnetization: 0.000 μB per formula unit
* space group: P-3m1, No. 164
* D(E_F): 0.31 states/eV per atom

Record 3
AcSm2Al2Si2 after structural relaxation. Source: Alexandria, functional PBE.

The structure in POSCAR format:
```
AcSm2Al2Si2
1.0
2.102 1.214 11.849
-2.102 1.214 11.849
0.000 -2.428 11.849
Ac Sm Al Si
1 2 2 2
Cartesian
0.000 0.000 0.000
0.000 0.000 4.460
0.000 0.000 31.086
0.000 0.000 9.300
0.000 0.000 26.245
0.000 0.000 14.115
0.000 0.000 21.431
```

Values from the calculation:
* energy relative to the elements, uncorrected: -3.211 eV/f.u.
* magnetization: 0.000 μB per formula unit
* space group: R-3m, No. 166
* D(E_F): 0.66 states/eV per atom

Record 4
Ac2AlTlSi after structural relaxation. Source: Alexandria, functional PBE.

The structure in POSCAR format:
```
Ac2AlTlSi
1.0
7.752 0.000 0.000
0.000 4.561 0.000
-2.751 0.000 9.241
Ac Al Tl Si
4 2 2 2
Cartesian
0.433 1.140 3.727
-0.757 1.140 8.977
5.758 3.421 0.264
4.568 3.421 5.514
2.954 3.421 2.435
2.047 1.140 6.806
0.451 3.421 6.431
4.550 1.140 2.811
0.733 3.421 1.565
4.269 1.140 7.676
```

Values from the calculation:
* energy relative to the elements, uncorrected: -1.742 eV/f.u.
* magnetization: 0.000 μB per formula unit
* space group: P2_1/m, No. 11
* D(E_F): 0.67 states/eV per atom